First-principles (GGA-PBE) data for a geometry-optimized GaSnS2O structure, as listed in Alexandria via LeMat-Bulk.

Results
- Calculated volume: 20.44 Å³ per atom
- Total DFT energy (no corrections): -21.25 eV per formula unit
- D(E_F): 0.92 states/eV/atom
- Crystal system: tetragonal

Geometry as CIF:
```
data_GaSnS2O
_chemical_formula_sum 'Ga1 Sn1 S2 O1'
_cell_length_a 5.095
_cell_length_b 5.095
_cell_length_c 3.936
_cell_angle_alpha 90.00
_cell_angle_beta 90.00
_cell_angle_gamma 90.00
_symmetry_space_group_name_H-M 'P 4/m m m'
_symmetry_Int_Tables_number 123
_symmetry_space_group_name_Hall '-P 4 2'
loop_
_atom_site_label
_atom_site_type_symbol
_atom_site_fract_x
_atom_site_fract_y
_atom_site_fract_z
Ga1 Ga 0.000 0.000 0.000
Sn1 Sn 0.500 0.500 0.500
S1 S 0.000 0.500 0.500
O1 O 0.500 0.500 0.000
```